A relaxed structure of PmPa3C4N12, computed with GGA-PBE.

Results
Raw formation energy: -14.593 kcal/mol of atoms
Mass density: 6.762 g/cm3
V: 776.7 Å³ per cell
Density of states at the Fermi level: 32.79 states/eV per cell
Raw total energy: -9.13 eV/atom

abc: 10.1157 10.1157 8.7646
angles: 90.00 90.00 120.00
Space group R32 (No. 155, hexagonal axes)
Symmetry-distinct sites (fractional):
Pm1 0.0000 0.0000 0.0000
Pa1 0.0000 0.5322 0.0000
C1 0.0000 0.0000 0.5000
C2 0.0000 0.4636 0.5000
N1 0.0000 0.5991 0.5000
N2 0.0000 0.8658 0.5000
N3 0.0012 0.1998 0.1745

A relaxed structure of Ga2NiRu, computed with GGA-PBE.

Results
Formation energy: -36.93 kJ/mol of atoms
Mass density: 9.387 g/cm3
V: 52.9 Å³ per cell
Density of states at the Fermi level: 1.46 states/eV per cell
Raw total energy: -5.66 eV/atom

abc: 4.154 4.154 3.067
angles: 90.00 90.00 90.00
Space group P4/mmm (No. 123)
Symmetry-distinct sites (fractional):
Ga1 0.000 0.500 0.000
Ni1 0.000 0.000 0.500
Ru1 0.500 0.500 0.500

A relaxed structure of Cs2BaNi, computed with GGA-PBE.

Results
Formation energy: 76.50 kJ/mol of atoms
Mass density: 2.730 g/cm3
V: 1123.4 Å³ per cell
Density of states at the Fermi level: 16.41 states/eV per cell
Raw total energy: -1.56 eV/atom

abc: 9.255 9.255 13.116
angles: 90.00 90.00 90.00
Space group I-42d (No. 122)
Symmetry-distinct sites (fractional):
Cs1 0.008 0.250 0.125
Ba1 0.000 0.000 0.500
Ni1 0.000 0.000 0.000

A relaxed structure of DyTm2Ag3, computed with GGA-PBE.

Results
Formation energy: -32.44 kJ/mol of atoms
Mass density: 9.751 g/cm3
V: 140.3 Å³ per cell
Density of states at the Fermi level: 2.42 states/eV per cell
Raw total energy: -4.02 eV/atom

abc: 3.585 3.585 10.919
angles: 90.00 90.00 90.00
Space group P4/mmm (No. 123)
Symmetry-distinct sites (fractional):
Dy1 0.000 0.000 0.000
Tm1 0.000 0.000 0.335
Ag1 0.500 0.500 0.172
Ag2 0.500 0.500 0.500

A relaxed structure of Nd2Y3Mg, computed with GGA-PBE.

Results
Formation energy: -2.44 kJ/mol of atoms
Mass density: 5.049 g/cm3
V: 190.6 Å³ per cell
Density of states at the Fermi level: 8.13 states/eV per cell
Raw total energy: -5.11 eV/atom

abc: 3.649 3.649 14.314
angles: 90.00 90.00 90.00
Space group P4/mmm (No. 123)
Symmetry-distinct sites (fractional):
Nd1 0.000 0.000 0.179
Y1 0.500 0.500 0.000
Y2 0.500 0.500 0.354
Mg1 0.000 0.000 0.500

A relaxed structure of CeTh2Ru3, computed with GGA-PBE.

Results
Formation energy: -27.38 kJ/mol of atoms
Mass density: 10.982 g/cm3
V: 548.8 Å³ per cell
Density of states at the Fermi level: 18.17 states/eV per cell
Raw total energy: -8.38 eV/atom

abc: 9.680 10.391 5.457
angles: 90.00 90.00 90.00
Space group Cmc2_1 (No. 36)
Symmetry-distinct sites (fractional):
Ce1 0.000 0.092 0.000
Th1 0.193 0.379 0.997
Ru1 0.000 0.138 0.500
Ru2 0.153 0.362 0.497

A relaxed structure of K3Cd7Au4, computed with GGA-PBE.

Results
Formation energy: -21.56 kJ/mol of atoms
Mass density: 7.706 g/cm3
V: 729.2 Å³ per cell
Density of states at the Fermi level: 9.33 states/eV per cell
Raw total energy: -1.85 eV/atom

abc: 17.503 4.807 10.517
angles: 90.00 124.50 90.00
Space group C2/m (No. 12)
Symmetry-distinct sites (fractional):
K1 0.000 0.000 0.000
K2 0.196 0.500 0.700
Cd1 0.000 0.000 0.500
Cd2 0.003 0.500 0.295
Cd3 0.154 0.000 0.425
Cd4 0.180 0.500 0.025
Au1 0.119 0.000 0.833
Au2 0.162 0.500 0.279

A relaxed structure of Tm4BiAuSe2, computed with GGA-PBE.

Results
Raw formation energy: -27.520 kcal/mol of atoms
Mass density: 10.062 g/cm3
V: 204.6 Å³ per cell
Density of states at the Fermi level: 3.77 states/eV per cell
Raw total energy: -5.20 eV/atom

abc: 7.012 4.072 7.539
angles: 90.00 108.14 90.00
Space group P2/m (No. 10)
Symmetry-distinct sites (fractional):
Tm1 0.232 0.000 0.235
Tm2 0.236 0.500 0.755
Bi1 0.500 0.500 0.500
Au1 0.000 0.000 0.500
Se1 0.000 0.500 0.000
Se2 0.500 0.000 0.000

A relaxed structure of TaPd2Au5, computed with GGA-PBE.

Results
Formation energy: 1.41 kJ/mol of atoms
Mass density: 15.352 g/cm3
V: 596.5 Å³ per cell
Density of states at the Fermi level: 16.19 states/eV per cell
Raw total energy: -4.81 eV/atom

abc: 5.438 13.120 8.394
angles: 90.00 95.14 90.00
Space group C2/c (No. 15)
Symmetry-distinct sites (fractional):
Ta1 0.000 0.046 0.250
Pd1 0.224 0.442 0.053
Au1 0.000 0.400 0.750
Au2 0.124 0.233 0.123
Au3 0.217 0.127 0.610

A relaxed structure of BaMgSn2S6, computed with GGA-PBE.

Results
Raw formation energy: -19.884 kcal/mol of atoms
Mass density: 3.269 g/cm3
V: 1201.8 Å³ per cell
Raw total energy: -4.49 eV/atom

abc: 14.615 11.795 7.877
angles: 90.00 117.74 90.00
Space group C2/c (No. 15)
Symmetry-distinct sites (fractional):
Ba1 0.000 0.178 0.250
Mg1 0.000 0.186 0.750
Sn1 0.213 0.424 0.156
S1 0.103 0.056 0.655
S2 0.140 0.440 0.388
S3 0.142 0.238 0.063

A relaxed structure of MgZnCo, computed with GGA-PBE.

Results
Formation energy: 0.64 kJ/mol of atoms
Mass density: 5.733 g/cm3
V: 86.1 Å³ per cell
Density of states at the Fermi level: 4.25 states/eV per cell
Raw total energy: -3.32 eV/atom

abc: 3.009 3.009 9.511
angles: 90.00 90.00 90.00
Space group I4mm (No. 107)
Symmetry-distinct sites (fractional):
Mg1 0.000 0.000 0.000
Zn1 0.000 0.000 0.297
Co1 0.000 0.000 0.667

A relaxed structure of CeAgS, computed with GGA-PBE.

Results
Raw formation energy: -23.772 kcal/mol of atoms
Mass density: 6.633 g/cm3
V: 280.4 Å³ per cell
Density of states at the Fermi level: 28.18 states/eV per cell
Raw total energy: -5.34 eV/atom

abc: 3.699 17.429 4.350
angles: 90.00 90.00 90.00
Space group Cmcm (No. 63)
Symmetry-distinct sites (fractional):
Ce1 0.000 0.153 0.250
Ag1 0.000 0.459 0.250
S1 0.000 0.316 0.250

A relaxed structure of LiAc2Al6Ag, computed with GGA-PBE.

Results
Formation energy: -21.66 kJ/mol of atoms
Mass density: 5.111 g/cm3
V: 237.4 Å³ per cell
Density of states at the Fermi level: 4.25 states/eV per cell
Raw total energy: -3.77 eV/atom

abc: 5.454 6.997 7.278
angles: 81.55 68.13 67.08
Space group P-1 (No. 2)
Symmetry-distinct sites (fractional):
Li1 0.000 0.000 0.000
Ac1 0.458 0.290 0.793
Al1 0.005 0.235 0.257
Al2 0.169 0.082 0.578
Al3 0.498 0.765 0.741
Ag1 0.000 0.500 0.500

A relaxed structure of Ba2Ge3Pt4Au, computed with GGA-PBE.

Results
Formation energy: -64.97 kJ/mol of atoms
Mass density: 11.128 g/cm3
V: 219.3 Å³ per cell
Density of states at the Fermi level: 4.10 states/eV per cell
Raw total energy: -5.19 eV/atom

abc: 4.596 4.596 10.383
angles: 90.00 90.00 90.00
Space group P-4m2 (No. 115)
Symmetry-distinct sites (fractional):
Ba1 0.000 0.500 0.247
Ge1 0.000 0.000 0.000
Ge2 0.000 0.500 0.614
Pt1 0.000 0.000 0.500
Pt2 0.000 0.500 0.857
Pt3 0.500 0.500 0.500
Au1 0.500 0.500 0.000

A relaxed structure of NaH3Pd, computed with GGA-PBE.

Results
Mass density: 4.713 g/cm3
V: 46.7 Å³ per cell
Density of states at the Fermi level: 0.64 states/eV per cell
Raw total energy: -3.58 eV/atom

abc: 3.600 3.600 3.600
angles: 90.00 90.00 90.00
Space group Pm-3m (No. 221)
Symmetry-distinct sites (fractional):
Na1 0.000 0.000 0.000
H1 0.000 0.500 0.500
Pd1 0.500 0.500 0.500

A relaxed structure of Ac8Hg2Ir3, computed with GGA-PBE.

Results
Formation energy: -48.26 kJ/mol of atoms
Mass density: 9.012 g/cm3
V: 1029.5 Å³ per cell
Density of states at the Fermi level: 26.09 states/eV per cell
Raw total energy: -5.12 eV/atom

abc: 16.431 8.713 7.574
angles: 90.00 108.28 90.00
Space group C2/m (No. 12)
Symmetry-distinct sites (fractional):
Ac1 0.104 0.000 0.404
Ac2 0.105 0.239 0.899
Ac3 0.110 0.500 0.438
Hg1 0.242 0.500 0.171
Ir1 0.000 0.000 0.000
Ir2 0.000 0.253 0.500

A relaxed structure of Y2GaCoSn, computed with GGA-PBE.

Results
Formation energy: 0.14 kJ/mol of atoms
Mass density: 5.488 g/cm3
V: 128.6 Å³ per cell
Density of states at the Fermi level: 4.46 states/eV per cell
Raw total energy: -5.41 eV/atom

abc: 5.399 5.399 4.413
angles: 90.00 90.00 90.00
Space group P4/mmm (No. 123)
Symmetry-distinct sites (fractional):
Y1 0.000 0.500 0.000
Ga1 0.000 0.000 0.000
Co1 0.000 0.000 0.500
Sn1 0.500 0.500 0.500

A relaxed structure of Be2AlAs, computed with GGA-PBE.

Results
Formation energy: 31.54 kJ/mol of atoms
Mass density: 3.482 g/cm3
V: 114.4 Å³ per cell
Density of states at the Fermi level: 1.65 states/eV per cell
Raw total energy: -3.63 eV/atom

abc: 8.239 2.743 5.496
angles: 90.00 112.92 90.00
Space group C2/m (No. 12)
Symmetry-distinct sites (fractional):
Be1 0.231 0.000 0.318
Al1 0.000 0.000 0.500
As1 0.000 0.500 0.000

A relaxed structure of La2ZrZn, computed with GGA-PBE.

Results
Formation energy: 10.65 kJ/mol of atoms
Mass density: 6.322 g/cm3
V: 342.3 Å³ per cell
Density of states at the Fermi level: 14.88 states/eV per cell
Raw total energy: -4.81 eV/atom

abc: 3.5418 3.5418 31.5121
angles: 90.00 90.00 120.00
Space group R-3m (No. 166, hexagonal axes)
Symmetry-distinct sites (fractional):
La1 0.0000 0.0000 0.2462
Zr1 0.0000 0.0000 0.0000
Zn1 0.0000 0.0000 0.5000

A relaxed structure of MgMn2Ag, computed with GGA-PBE.

Results
Formation energy: 19.54 kJ/mol of atoms
Mass density: 6.227 g/cm3
V: 129.1 Å³ per cell
Density of states at the Fermi level: 6.48 states/eV per cell
Raw total energy: -5.49 eV/atom

abc: 4.512 4.512 6.341
angles: 90.00 90.00 90.00
Space group I-4m2 (No. 119)
Symmetry-distinct sites (fractional):
Mg1 0.000 0.000 0.000
Mn1 0.000 0.000 0.500
Mn2 0.000 0.500 0.250
Ag1 0.000 0.500 0.750

A relaxed structure of Ce2Dy6Ho3Er, computed with GGA-PBE.

Results
Formation energy: 4.50 kJ/mol of atoms
Mass density: 8.548 g/cm3
V: 744.9 Å³ per cell
Density of states at the Fermi level: 43.32 states/eV per cell
Raw total energy: -4.77 eV/atom

abc: 6.111 10.581 11.699
angles: 90.00 100.03 90.00
Space group C2/m (No. 12)
Symmetry-distinct sites (fractional):
Ce1 0.000 0.166 0.000
Dy1 0.249 0.000 0.249
Dy2 0.249 0.168 0.751
Ho1 0.000 0.000 0.500
Ho2 0.000 0.334 0.500
Er1 0.000 0.500 0.000

A relaxed structure of TmZn2Hg, computed with GGA-PBE.

Results
Formation energy: -21.36 kJ/mol of atoms
Mass density: 10.760 g/cm3
V: 308.9 Å³ per cell
Density of states at the Fermi level: 12.32 states/eV per cell
Raw total energy: -2.05 eV/atom

abc: 6.760 6.760 6.760
angles: 90.00 90.00 90.00
Space group Fm-3m (No. 225)
Symmetry-distinct sites (fractional):
Tm1 0.000 0.000 0.000
Zn1 0.250 0.250 0.250
Hg1 0.000 0.000 0.500

A relaxed structure of Ba2Zn6Pd, computed with GGA-PBE.

Results
Formation energy: -21.60 kJ/mol of atoms
Mass density: 6.040 g/cm3
V: 212.7 Å³ per cell
Density of states at the Fermi level: 5.42 states/eV per cell
Raw total energy: -2.08 eV/atom

abc: 6.4970 6.4970 5.8171
angles: 90.00 90.00 120.00
Space group P-3m1 (No. 164)
Symmetry-distinct sites (fractional):
Ba1 0.3333 0.6667 0.3284
Zn1 0.1595 0.3189 0.8306
Pd1 0.0000 0.0000 0.5000

A relaxed structure of Mo3Br, computed with GGA-PBE.

Results
Raw formation energy: 18.215 kcal/mol of atoms
Mass density: 9.395 g/cm3
V: 65.0 Å³ per cell
Density of states at the Fermi level: 3.01 states/eV per cell
Raw total energy: -7.75 eV/atom

abc: 4.623 4.623 3.041
angles: 90.00 90.00 90.00
Space group P4/mmm (No. 123)
Symmetry-distinct sites (fractional):
Mo1 0.000 0.000 0.000
Mo2 0.000 0.500 0.500
Br1 0.500 0.500 0.000